CuSi3W | GGA-PBE | optimized geometry

Structure (POSCAR):
```
CuSi3W
1.0
4.747 0.000 0.000
0.000 4.747 0.000
0.000 0.000 4.747
Cu Si W
1 3 1
Direct
0.000 0.000 0.000 Cu
0.000 0.500 0.500 Si
0.500 0.000 0.500 Si
0.500 0.500 0.000 Si
0.500 0.500 0.500 W
```

Output
Raw formation energy (meV per atom): 832
Energy (eV for the cell shown): -29.2
Spin magnetization (μB per atom): 0.000
DOS(E_F) (states/eV/cell): 3.414